Here is crystalline LiHo4In2 at its relaxed geometry from Alexandria via LeMat-Bulk. Energies are from GGA-PBE.

abc: 7.013 6.572 8.867
angles: 90.00 108.56 90.00
Atoms (fractional coordinates):
Li 0.038 0.250 0.259
Li 0.962 0.750 0.741
Ho 0.185 0.750 0.137
Ho 0.326 0.006 0.781
Ho 0.326 0.494 0.781
Ho 0.445 0.250 0.469
Ho 0.555 0.750 0.531
Ho 0.674 0.506 0.219
Ho 0.674 0.994 0.219
Ho 0.815 0.250 0.863
In 0.068 0.750 0.461
In 0.275 0.250 0.076
In 0.725 0.750 0.924
In 0.932 0.250 0.539

Output
**Total moment**: 0.001 μB per cell
**Energy of formation from the pure elements**: -0.14 eV per atom
**Density of states at the Fermi level**: 15.69 states/eV/cell
**V**: 387 Å³ per cell